! Rb5NdHfMo6O24, relaxed, DFT PBE with a Hubbard U; values from VASP
! **N(E_F)**: 0.000 states/eV per cell
! **VASP energy**: -514.73 eV for the cell shown
! **Space group**: R-3c, No. 167
&SYSTEM
  ibrav = 0, nat = 74, ntyp = 5
/
ATOMIC_SPECIES
Rb 85.47 Rb.upf
Nd 144.24 Nd.upf
Hf 178.49 Hf.upf
Mo 95.94 Mo.upf
O 16.00 O.upf
ATOMIC_POSITIONS crystal
Rb 0.3544 0.3544 0.9369
Rb 0.8585 0.6415 0.2500
Rb 0.6415 0.2500 0.2500
Rb 0.2500 0.8585 0.2500
Rb 0.1456 0.1456 0.5631
Rb 0.8544 0.8544 0.4369
Rb 0.7500 0.1415 0.7500
Rb 0.3585 0.7500 0.7500
Rb 0.1415 0.3585 0.7500
Rb 0.6456 0.6456 0.0631
Nd 0.0000 0.0000 0.0000
Nd 0.5000 0.5000 0.5000
Hf 0.7500 0.7500 0.7500
Hf 0.2500 0.2500 0.2500
Mo 0.1082 0.7583 0.6013
Mo 0.7583 0.5322 0.6013
Mo 0.5322 0.1082 0.6013
Mo 0.7417 0.3918 0.8987
Mo 0.3918 0.9678 0.8987
Mo 0.0322 0.2583 0.1013
Mo 0.9678 0.7417 0.8987
Mo 0.6082 0.0322 0.1013
Mo 0.2583 0.6082 0.1013
Mo 0.4678 0.8918 0.3987
Mo 0.2417 0.4678 0.3987
Mo 0.8918 0.2417 0.3987
O 0.1111 0.8364 0.4728
O 0.8364 0.5796 0.4728
O 0.0910 0.8822 0.6585
O 0.2767 0.6021 0.6098
O 0.9560 0.7047 0.6590
O 0.7047 0.6802 0.6590
O 0.6021 0.5114 0.6098
O 0.5796 0.1111 0.4728
O 0.5114 0.2767 0.6098
O 0.8822 0.3683 0.6585
O 0.3683 0.0910 0.6585
O 0.6802 0.9560 0.6590
O 0.7953 0.5440 0.8410
O 0.6178 0.4090 0.8415
O 0.4090 0.1317 0.8415
O 0.8979 0.2233 0.8902
O 0.0796 0.3364 0.9728
O 0.6636 0.3889 0.0272
O 0.2233 0.9886 0.8902
O 0.5440 0.8198 0.8410
O 0.8198 0.7953 0.8410
O 0.9886 0.8979 0.8902
O 0.6111 0.0796 0.9728
O 0.1317 0.6178 0.8415
O 0.8683 0.3822 0.1585
O 0.3889 0.9204 0.0272
O 0.0114 0.1021 0.1098
O 0.1802 0.2047 0.1590
O 0.4560 0.1802 0.1590
O 0.7767 0.0114 0.1098
O 0.3364 0.6111 0.9728
O 0.9204 0.6636 0.0272
O 0.1021 0.7767 0.1098
O 0.5910 0.8683 0.1585
O 0.3822 0.5910 0.1585
O 0.2047 0.4560 0.1590
O 0.3198 0.0440 0.3410
O 0.6317 0.9090 0.3415
O 0.1178 0.6317 0.3415
O 0.4886 0.7233 0.3902
O 0.4204 0.8889 0.5272
O 0.3979 0.4886 0.3902
O 0.2953 0.3198 0.3410
O 0.0440 0.2953 0.3410
O 0.7233 0.3979 0.3902
O 0.9090 0.1178 0.3415
O 0.1636 0.4204 0.5272
O 0.8889 0.1636 0.5272
CELL_PARAMETERS angstrom
-1.2944 10.9691 -1.1338
-10.0831 4.2304 -1.9276
-5.8278 6.1792 12.0683